Compound: CeSm2Pt
Source: the Alexandria database
Functional: PBE-GGA
Structure: optimized geometry

Total energy   -5.57 eV per atom
Energy above the lowest structure with this stoichiometry   0.369 eV per atom
Energy of formation   -0.86 eV per formula unit

Structure (CIF):
```
data_CeSm2Pt
_space_group_name_H-M_alt 'R -3 m'
_space_group_IT_number 166
_space_group_name_Hall '-R 3 2"'
_cell_length_a 3.7076
_cell_length_b 3.7076
_cell_length_c 32.1695
_cell_angle_alpha 90.00
_cell_angle_beta 90.00
_cell_angle_gamma 120.00
loop_
_atom_site_label
_atom_site_type_symbol
_atom_site_fract_x
_atom_site_fract_y
_atom_site_fract_z
Ce1 Ce 0.0000 0.0000 0.0000
Sm1 Sm 0.0000 0.0000 0.1080
Pt1 Pt 0.0000 0.0000 0.5000
```